Record 1
This record from the Alexandria database describes Dy3Pa2Co3 after structural relaxation. The functional is PBE.

Unit cell a=6.4928 b=14.0902 c=7.5352 alpha=90.00 beta=90.00 gamma=90.00
Space group Pnma (No. 62)
Inequivalent atoms, fractional coordinates:
Dy 0.9998 0.0797 0.2387 [8 per cell]
Dy 0.2388 0.2500 0.4876 [4 per cell]
Pa 0.2475 0.6299 0.3643 [8 per cell]
Co 0.2264 0.0598 0.5881 [8 per cell]
Co 0.2467 0.7500 0.5972 [4 per cell]

Magnetization (Bohr magnetons per cell): 0.0
Total DFT energy (no corrections) (eV for the cell shown): -223.56

---

Record 2
This record from the Alexandria database describes DyPaCo2 after structural relaxation. The functional is PBE.

Unit cell a=3.3384 b=3.3384 c=6.7288 alpha=90.00 beta=90.00 gamma=90.00
Space group P4/mmm (No. 123)
Inequivalent atoms, fractional coordinates:
Dy 0.0000 0.0000 0.0000 [1 per cell]
Pa 0.0000 0.0000 0.5000 [1 per cell]
Co 0.5000 0.5000 0.2991 [2 per cell]

Energy above the lowest structure with this stoichiometry (eV/f.u.): 0.49
Magnetization (Bohr magnetons per cell): 0.0

---

Record 3
This record from the Alexandria database describes DyPaCo after structural relaxation. The functional is PBE.

Unit cell a=4.1905 b=4.1905 c=4.6946 alpha=90.00 beta=90.00 gamma=120.00
Space group P-6m2 (No. 187)
Inequivalent atoms, fractional coordinates:
Dy 0.0000 0.0000 0.0000 [1 per cell]
Pa 0.6667 0.3333 0.5000 [1 per cell]
Co 0.3333 0.6667 0.5000 [1 per cell]

Energy above the lowest structure with this stoichiometry (eV/f.u.): 0.96
Magnetization (Bohr magnetons per cell): 0.0

---

Number 1 is which compound?
Dy3Pa2Co3